DFT (PBE) results for a relaxed structure of AcZnCo.

- Energy relative to the lowest polymorph listed for this composition: 4.96 kJ per mole of atoms
- E_tot: -4.244 eV/atom
- Fermi-level density of states: 1.453 states/eV/atom

Cell: 4.2349 4.2349 9.8411 Å, 102.40 102.40 60.06°
Sites, in units of the cell vectors:
Ac (0.2462, 0.2462, 0.2409)
Ac (0.7538, 0.7538, 0.7591)
Zn (0.0000, 0.0000, 0.5000)
Zn (0.5000, 0.5000, 0.0000)
Co (0.3450, 0.3450, 0.5342)
Co (0.6550, 0.6550, 0.4658)

DFT (PBE) results for a relaxed structure of ScNiPS2.

- Energy relative to the lowest polymorph listed for this composition: 0.00 kJ per mole of atoms
- Uncorrected formation energy: -1.209 eV per formula unit
- E_tot: -5.397 eV/atom
- Fermi-level density of states: 0.647 states/eV/atom

Cell: 4.5667 4.5667 4.2281 Å, 90.00 90.00 90.00°
Sites, in units of the cell vectors:
Sc (0.0000, 0.0000, 0.0000)
Ni (0.5000, 0.5000, 0.5000)
P (0.5000, 0.5000, 0.0000)
S (0.0000, 0.5000, 0.5000)
S (0.5000, 0.0000, 0.5000)

DFT (PBE) results for a relaxed structure of Ce4AsIrBr2.

- Uncorrected formation energy: -9.229 eV per formula unit
- E_tot: -6.228 eV/atom
- Fermi-level density of states: 3.062 states/eV/atom

Cell: 7.4731 4.1131 7.4914 Å, 90.00 107.88 90.00°
Sites, in units of the cell vectors:
Ce (0.2229, 0.0000, 0.2095)
Ce (0.2503, 0.5000, 0.7769)
Ce (0.7497, 0.5000, 0.2231)
Ce (0.7771, 0.0000, 0.7905)
As (0.5000, 0.0000, 0.0000)
Ir (0.0000, 0.5000, 0.0000)
Br (0.0000, 0.0000, 0.5000)
Br (0.5000, 0.5000, 0.5000)